1.
# Rb2Na3UF12 PBE optimized geometry
# Uncorrected formation energy ... -2679.6 meV per atom
# Energy ... -4.882 eV per atom
data_Rb2Na3UF12
_chemical_formula_sum 'Rb6 Na9 U3 F36'
_cell_length_a 7.8028
_cell_length_b 7.8028
_cell_length_c 21.7169
_cell_angle_alpha 90.00
_cell_angle_beta 90.00
_cell_angle_gamma 120.00
_space_group_name_H-M_alt 'R -3 m'
_space_group_IT_number 166
_space_group_name_Hall '-R 3 2"'
loop_
_atom_site_label
_atom_site_fract_x
_atom_site_fract_y
_atom_site_fract_z
Rb1 0.0000 0.0000 0.0831
Na1 0.0000 0.5000 0.0000
U1 0.0000 0.0000 0.5000
F1 0.0381 0.5191 0.3668
F2 0.0850 0.5425 0.1127

=====

2.
# Ac2La2Te7 PBE optimized geometry
# Uncorrected formation energy ... -1241.6 meV per atom
# Energy ... -4.884 eV per atom
data_Ac2La2Te7
_chemical_formula_sum 'Ac4 La4 Te14'
_cell_length_a 11.1483
_cell_length_b 11.8665
_cell_length_c 6.9275
_cell_angle_alpha 90.00
_cell_angle_beta 90.00
_cell_angle_gamma 90.00
_space_group_name_H-M_alt 'C m m m'
_space_group_IT_number 65
_space_group_name_Hall '-C 2 2'
loop_
_atom_site_label
_atom_site_fract_x
_atom_site_fract_y
_atom_site_fract_z
Ac1 0.2455 0.0000 0.0000
La1 0.0000 0.2327 0.5000
Te1 0.0000 0.0000 0.2539
Te2 0.0000 0.5000 0.5000
Te3 0.2500 0.2500 0.2447

=====

3.
# Nb2MoSe6 PBE optimized geometry
# Uncorrected formation energy ... -738.7 meV per atom
# Energy ... -6.503 eV per atom
# Energy relative to the lowest polymorph listed for this composition ... 0.0 meV per atom
data_Nb2MoSe6
_chemical_formula_sum 'Nb4 Mo2 Se12'
_cell_length_a 17.1798
_cell_length_b 3.4340
_cell_length_c 7.9008
_cell_angle_alpha 90.00
_cell_angle_beta 114.79
_cell_angle_gamma 90.00
_space_group_name_H-M_alt 'C 1 2/m 1'
_space_group_IT_number 12
_space_group_name_Hall '-C 2y'
loop_
_atom_site_label
_atom_site_fract_x
_atom_site_fract_y
_atom_site_fract_z
Nb1 0.1485 0.0000 0.2956
Mo1 0.0000 0.5000 0.0000
Se1 0.0062 0.0000 0.7579
Se2 0.1640 0.5000 0.0699
Se3 0.1747 0.5000 0.5668

=====

4.
# La3GaO2 PBE optimized geometry
# Uncorrected formation energy ... -2031.8 meV per atom
# Energy ... -6.653 eV per atom
data_La3GaO2
_chemical_formula_sum 'La12 Ga4 O8'
_cell_length_a 9.2782
_cell_length_b 12.0035
_cell_length_c 5.6612
_cell_angle_alpha 90.00
_cell_angle_beta 90.00
_cell_angle_gamma 90.00
_space_group_name_H-M_alt 'C m c m'
_space_group_IT_number 63
_space_group_name_Hall '-C 2c 2'
loop_
_atom_site_label
_atom_site_fract_x
_atom_site_fract_y
_atom_site_fract_z
La1 0.0000 0.1012 0.2500
La2 0.2017 0.3902 0.2500
Ga1 0.0000 0.3057 0.7500
O1 0.1598 0.0000 0.0000

=====

5.
# Y3TaRu PBE optimized geometry
# ΔE_f ... 1.23 eV/atom
# Energy ... -6.874 eV per atom
# Energy relative to the lowest polymorph listed for this composition ... 643.1 meV per atom
data_Y3TaRu
_chemical_formula_sum 'Y3 Ta1 Ru1'
_cell_length_a 5.3264
_cell_length_b 5.3264
_cell_length_c 5.3264
_cell_angle_alpha 90.00
_cell_angle_beta 90.00
_cell_angle_gamma 90.00
_space_group_name_H-M_alt 'P m -3 m'
_space_group_IT_number 221
_space_group_name_Hall '-P 4 2 3'
loop_
_atom_site_label
_atom_site_fract_x
_atom_site_fract_y
_atom_site_fract_z
Y1 0.0000 0.0000 0.5000
Ta1 0.0000 0.0000 0.0000
Ru1 0.5000 0.5000 0.5000

=====

6.
# ZnFeMo2 PBE optimized geometry
# ΔE_f ... 0.17 eV/atom
# Energy ... -7.680 eV per atom
data_ZnFeMo2
_chemical_formula_sum 'Zn2 Fe2 Mo4'
_cell_length_a 5.2634
_cell_length_b 8.6057
_cell_length_c 2.6092
_cell_angle_alpha 90.00
_cell_angle_beta 102.72
_cell_angle_gamma 90.00
_space_group_name_H-M_alt 'C 1 2/m 1'
_space_group_IT_number 12
_space_group_name_Hall '-C 2y'
loop_
_atom_site_label
_atom_site_fract_x
_atom_site_fract_y
_atom_site_fract_z
Zn1 0.0000 0.0000 0.0000
Fe1 0.0000 0.5000 0.0000
Mo1 0.2500 0.2500 0.5000

=====

7.
# Ba5Nd PBE optimized geometry
# ΔE_f ... 0.12 eV/atom
# Energy ... -2.280 eV per atom
data_Ba5Nd
_chemical_formula_sum 'Ba10 Nd2'
_cell_length_a 6.8833
_cell_length_b 20.7071
_cell_length_c 4.7131
_cell_angle_alpha 90.00
_cell_angle_beta 90.00
_cell_angle_gamma 90.00
_space_group_name_H-M_alt 'C m m m'
_space_group_IT_number 65
_space_group_name_Hall '-C 2 2'
loop_
_atom_site_label
_atom_site_fract_x
_atom_site_fract_y
_atom_site_fract_z
Ba1 0.0000 0.0000 0.0000
Ba2 0.0000 0.1708 0.5000
Ba3 0.0000 0.3475 0.0000
Nd1 0.0000 0.5000 0.5000

=====

8.
# Tb5Sm3Th2 PBE optimized geometry
# ΔE_f ... 0.21 eV/atom
# Energy ... -5.006 eV per atom
data_Tb5Sm3Th2
_chemical_formula_sum 'Tb20 Sm12 Th8'
_cell_length_a 10.8134
_cell_length_b 17.3586
_cell_length_c 8.9456
_cell_angle_alpha 90.00
_cell_angle_beta 127.13
_cell_angle_gamma 90.00
_space_group_name_H-M_alt 'C 1 2/c 1'
_space_group_IT_number 15
_space_group_name_Hall '-C 2yc'
loop_
_atom_site_label
_atom_site_fract_x
_atom_site_fract_y
_atom_site_fract_z
Tb1 0.0000 0.0309 0.2500
Tb2 0.0000 0.2798 0.7500
Tb3 0.0000 0.4679 0.7500
Tb4 0.2493 0.1193 0.7508
Sm1 0.0000 0.2208 0.2500
Sm2 0.1438 0.1237 0.0368
Th1 0.1365 0.3771 0.5233

=====

9.
# OsPd2O6 PBE optimized geometry
# Uncorrected formation energy ... -608.7 meV per atom
# Energy ... -6.316 eV per atom
data_OsPd2O6
_chemical_formula_sum 'Os2 Pd4 O12'
_cell_length_a 4.6505
_cell_length_b 4.6505
_cell_length_c 9.5346
_cell_angle_alpha 90.00
_cell_angle_beta 90.00
_cell_angle_gamma 90.00
_space_group_name_H-M_alt 'P 42/m n m'
_space_group_IT_number 136
_space_group_name_Hall '-P 4n 2n'
loop_
_atom_site_label
_atom_site_fract_x
_atom_site_fract_y
_atom_site_fract_z
Os1 0.0000 0.0000 0.0000
Pd1 0.0000 0.0000 0.3341
O1 0.1881 0.1881 0.1611
O2 0.2130 0.2130 0.5000

=====

10.
# RbCrOsPt2 PBE optimized geometry
# ΔE_f ... 3.43 eV/atom
# Energy ... -3.352 eV per atom
data_RbCrOsPt2
_chemical_formula_sum 'Rb1 Cr1 Os1 Pt2'
_cell_length_a 4.9005
_cell_length_b 4.9005
_cell_length_c 4.8685
_cell_angle_alpha 90.00
_cell_angle_beta 90.00
_cell_angle_gamma 90.00
_space_group_name_H-M_alt 'P 4/m m m'
_space_group_IT_number 123
_space_group_name_Hall '-P 4 2'
loop_
_atom_site_label
_atom_site_fract_x
_atom_site_fract_y
_atom_site_fract_z
Rb1 0.0000 0.0000 0.0000
Cr1 0.5000 0.5000 0.5000
Os1 0.0000 0.0000 0.5000
Pt1 0.0000 0.5000 0.0000

=====

11.
# CaGaAs2O8 PBE optimized geometry
# Uncorrected formation energy ... -1393.3 meV per atom
# Energy ... -5.893 eV per atom
data_CaGaAs2O8
_chemical_formula_sum 'Ca2 Ga2 As4 O16'
_cell_length_a 7.0606
_cell_length_b 7.0606
_cell_length_c 6.1384
_cell_angle_alpha 90.00
_cell_angle_beta 90.00
_cell_angle_gamma 90.00
_space_group_name_H-M_alt 'I -4 m 2'
_space_group_IT_number 119
_space_group_name_Hall 'I -4 -2'
loop_
_atom_site_label
_atom_site_fract_x
_atom_site_fract_y
_atom_site_fract_z
Ca1 0.0000 0.0000 0.0000
Ga1 0.0000 0.5000 0.2500
As1 0.0000 0.0000 0.5000
As2 0.0000 0.5000 0.7500
O1 0.0000 0.1926 0.3267
O2 0.0000 0.3240 0.9441

=====

12.
# Ho9Tm2Sc PBE optimized geometry
# ΔE_f ... 0.03 eV/atom
# Energy ... -4.676 eV per atom
data_Ho9Tm2Sc
_chemical_formula_sum 'Ho9 Tm2 Sc1'
_cell_length_a 4.9495
_cell_length_b 4.9495
_cell_length_c 14.8161
_cell_angle_alpha 90.00
_cell_angle_beta 90.00
_cell_angle_gamma 90.00
_space_group_name_H-M_alt 'P 4/m m m'
_space_group_IT_number 123
_space_group_name_Hall '-P 4 2'
loop_
_atom_site_label
_atom_site_fract_x
_atom_site_fract_y
_atom_site_fract_z
Ho1 0.0000 0.0000 0.0000
Ho2 0.0000 0.0000 0.3314
Ho3 0.0000 0.5000 0.1631
Ho4 0.0000 0.5000 0.5000
Tm1 0.5000 0.5000 0.3319
Sc1 0.5000 0.5000 0.0000